This record from Alexandria via LeMat-Bulk describes SrTlGaN2 after structural relaxation. The functional is PBE-GGA.

Unit cell a=4.823 b=4.823 c=6.233 alpha=90.00 beta=90.00 gamma=90.00
Fractional coordinates of all 5 atoms:
Sr (0.000, 0.000, 0.000)
Tl (0.500, 0.500, 0.500)
Ga (0.000, 0.000, 0.500)
N (0.000, 0.500, 0.000)
N (0.500, 0.000, 0.000)

Space-group type ... P4/mmm, No. 123
Energy relative to the elements, uncorrected ... 1.3793 eV per atom

This record from Alexandria via LeMat-Bulk describes SbOsRh3 after structural relaxation. The functional is PBE-GGA.

Unit cell a=4.726 b=4.726 c=4.726 alpha=90.00 beta=90.00 gamma=90.00
Fractional coordinates of all 5 atoms:
Sb (0.000, 0.000, 0.000)
Os (0.500, 0.500, 0.500)
Rh (0.000, 0.500, 0.500)
Rh (0.500, 0.000, 0.500)
Rh (0.500, 0.500, 0.000)

Space-group type ... Pm-3m, No. 221
Energy relative to the elements, uncorrected ... 1.1056 eV per atom
ΔE to the lowest computed polymorph ... 0 meV/atom